12
Lattice="7.2018 -0.0013 0.0005 -3.6003 6.2373 0.0005 -1.2009 -2.0794 7.0069" Properties=species:S:1:pos:R:3 comment="Na3Tb2DySe6 | Alexandria via LeMat-Bulk | GGA-PBE | relaxed" space_group="C2/m (12)" formation_energy_uncorrected_ev_per_atom=-1.708 energy_ev_per_cell=-59.23 pbc="T T T"
Dy 0.0000 0.0000 0.0000
Tb 0.0009 4.1575 0.0005
Se -0.0044 -0.0075 5.3957
Na -2.3985 4.1567 3.5039
Se 3.5970 2.0843 5.3959
Se 2.3928 -0.0007 1.6119
Se 0.0078 4.1572 5.3959
Tb 3.6007 2.0785 0.0005
Na 1.2003 2.0783 3.5039
Se -1.1964 2.0722 1.6119
Se 2.4049 4.1641 1.6121
Na 4.7991 -0.0002 3.5039



8
Lattice="-3.3064 0.5126 2.3276 3.0082 -3.9255 5.1378 3.7089 4.2863 4.3246" Properties=species:S:1:pos:R:3 comment="NaTbDy2Se4 | Alexandria via LeMat-Bulk | GGA-PBE | relaxed" space_group="P2/m (10)" formation_energy_uncorrected_ev_per_atom=-1.736 energy_ev_per_cell=-42.98 pbc="T T T"
Dy 0.2013 2.3995 3.3261
Se 1.8806 2.4995 5.6895
Se -1.6282 0.6370 4.6841
Se 1.5301 -1.6261 6.1004
Se 5.0389 0.2365 7.1058
Na -0.1491 -1.7064 3.7327
Dy 3.7089 4.2863 4.3246
Tb 3.3586 0.1804 4.7312



15
Lattice="-5.6973 -5.8615 1.1471 4.9222 -0.2681 -6.6207 3.2947 -1.7020 7.6662" Properties=species:S:1:pos:R:3 comment="Na3Dy3TeSe8 | Alexandria via LeMat-Bulk | GGA-PBE | relaxed" space_group="R-3m (166)" formation_energy_uncorrected_ev_per_atom=-1.362 energy_ev_per_cell=-69.22 pbc="T T T"
Na 0.0000 0.0000 0.0000
Se 0.5567 -5.7229 3.2194
Na -0.3876 -3.0648 -2.7368
Se -0.4691 -1.9471 2.3041
Dy -1.2013 -3.7818 4.4067
Na 2.4611 -0.1341 -3.3103
Se 2.9886 -5.8845 -0.1115
Se -0.8638 -5.0665 -0.4814
Dy 1.2597 -3.9158 1.0963
Se 5.8881 -2.9015 -0.6953
Se 1.9628 -2.1088 -1.0268
Se -3.3686 -4.9302 2.8879
Se 3.3833 -2.7652 2.6741
Te 1.6473 -0.8510 3.8331
Dy 4.1084 -0.9851 0.5227



16
Lattice="8.2972 0.0220 0.1778 0.0162 8.2972 0.1778 -3.9476 -3.9504 6.1291" Properties=species:S:1:pos:R:3 comment="Na2DyTeSe4 | Alexandria via LeMat-Bulk | GGA-PBE | relaxed" space_group="C2/c (15)" formation_energy_uncorrected_ev_per_atom=-1.021 energy_ev_per_cell=-64.97 pbc="T T T"
Te 2.1828 2.1844 3.2424
Te 4.3495 -3.9284 6.3069
Se 6.4068 6.3224 0.4227
Dy 0.0081 4.1486 0.0889
Na 4.1567 4.1596 0.1778
Na 4.1486 0.0110 0.0889
Se 4.1783 4.0924 3.1753
Se 4.2208 0.2297 3.4780
Se 0.1874 0.2765 3.3094
Se 0.1449 4.1391 3.0067
Se -2.0411 -1.9536 6.0620
Se -1.9752 2.3103 6.0712
Na 2.1748 -1.9642 3.1534
Dy 6.3314 2.1954 3.3312
Na -1.9738 -1.9752 3.0646
Se 6.3411 2.0585 0.4135



12
Lattice="7.2429 0.3607 -0.0487 -3.3072 6.4538 -0.0487 -1.3614 -2.3572 6.8898" Properties=species:S:1:pos:R:3 comment="Na3DyTe2Se6 | Alexandria via LeMat-Bulk | GGA-PBE | relaxed" space_group="C2/m (12)" formation_energy_uncorrected_ev_per_atom=-0.794 energy_ev_per_cell=-45.28 pbc="T T T"
Se 3.8461 2.4856 5.1716
Se -0.0690 -0.1194 5.3688
Se 2.6432 4.5767 1.4236
Dy 0.0000 0.0000 0.0000
Se 2.3434 -0.1163 1.6208
Na 4.7713 0.2164 3.3962
Te 0.1478 4.4584 -0.0487
Se -1.2719 1.9717 1.6208
Te 3.7878 2.3561 -0.0487
Na -2.1971 4.2409 3.3962
Se 0.2309 4.5736 5.1716
Na 1.2871 2.2287 3.3962



8
Lattice="4.1429 0.0000 0.0000 0.0000 7.2140 0.1213 0.0000 -2.4954 7.0677" Properties=species:S:1:pos:R:3 comment="Na2DyThSe4 | Alexandria via LeMat-Bulk | GGA-PBE | relaxed" space_group="P2/m (10)" formation_energy_uncorrected_ev_per_atom=-1.582 energy_ev_per_cell=-41.26 pbc="T T T"
Se 2.0715 3.4926 5.4576
Se 2.0715 1.2260 1.7313
Se 0.0000 -0.0415 5.4479
Se 0.0000 4.7601 1.7411
Na 2.0715 -1.2477 3.5338
Dy 2.0715 3.6070 0.0606
Th 0.0000 0.0000 0.0000
Na 0.0000 2.3593 3.5945